Entry 1:
Compound: Ba2ReRh
Source: Alexandria via LeMat-Bulk
Functional: GGA-PBEsol
Structure: relaxed

The structure in POSCAR format:
```
Ba2ReRh
1.0
1.702 0.983 9.745
-1.702 0.983 9.745
0.000 -1.965 9.745
Ba Re Rh
2 1 1
direct
0.247 0.247 0.247 Ba
0.753 0.753 0.753 Ba
0.000 0.000 0.000 Re
0.500 0.500 0.500 Rh
```

SG ... R-3m, No. 166
Energy of formation from the pure elements ... 4.950 eV per formula unit
Offset from the most stable computed form ... 772.7 meV per atom
M_tot ... 1.24 μB/f.u.
Fermi-level density of states ... 1.053 states/eV/atom


Entry 2:
Compound: Ba2Re2Rh
Source: Alexandria via LeMat-Bulk
Functional: GGA-PBEsol
Structure: relaxed

The structure in POSCAR format:
```
Ba2Re2Rh
1.0
-1.766 1.766 9.988
1.766 -1.766 9.988
1.766 1.766 -9.988
Ba Re Rh
2 2 1
direct
0.097 0.097 0.000 Ba
0.903 0.903 0.000 Ba
0.250 0.750 0.500 Re
0.750 0.250 0.500 Re
0.500 0.500 0.000 Rh
```

SG ... I4/mmm, No. 139
Energy of formation from the pure elements ... 3.277 eV per formula unit
M_tot ... 0.00 μB/f.u.
Fermi-level density of states ... 0.756 states/eV/atom


Entry 3:
Compound: BaRe2Rh
Source: Alexandria via LeMat-Bulk
Functional: GGA-PBEsol
Structure: relaxed

The structure in POSCAR format:
```
BaRe2Rh
1.0
0.000 3.271 3.271
3.271 0.000 3.271
3.271 3.271 0.000
Ba Re Rh
1 2 1
direct
0.000 0.000 0.000 Ba
0.250 0.250 0.250 Re
0.750 0.750 0.750 Re
0.500 0.500 0.500 Rh
```

SG ... Fm-3m, No. 225
Energy of formation from the pure elements ... 6.184 eV per formula unit
M_tot ... 0.00 μB/f.u.
Fermi-level density of states ... 1.710 states/eV/atom


Entry 4:
Compound: Ba3ReRh
Source: Alexandria via LeMat-Bulk
Functional: GGA-PBEsol
Structure: relaxed

The structure in POSCAR format:
```
Ba3ReRh
1.0
5.626 0.000 0.000
0.000 5.626 0.000
0.000 0.000 5.626
Ba Re Rh
3 1 1
direct
0.000 0.000 0.500 Ba
0.000 0.500 0.000 Ba
0.500 0.000 0.000 Ba
0.000 0.000 0.000 Re
0.500 0.500 0.500 Rh
```

SG ... Pm-3m, No. 221
Energy of formation from the pure elements ... 5.805 eV per formula unit
M_tot ... 0.39 μB/f.u.
Fermi-level density of states ... 2.424 states/eV/atom


Entry 5:
Compound: Ba2ReRh
Source: Alexandria via LeMat-Bulk
Functional: GGA-PBEsol
Structure: relaxed

The structure in POSCAR format:
```
Ba2ReRh
1.0
4.243 0.000 0.000
0.000 2.504 5.666
0.000 -2.504 5.666
Ba Re Rh
2 1 1
direct
0.000 0.000 0.000 Ba
0.500 0.291 0.291 Ba
0.000 0.691 0.691 Re
0.500 0.600 0.600 Rh
```

SG ... Amm2, No. 38
Energy of formation from the pure elements ... 1.859 eV per formula unit
Offset from the most stable computed form ... 0.0 meV per atom
M_tot ... 0.00 μB/f.u.
Fermi-level density of states ... 1.051 states/eV/atom


Entry 6:
Compound: Ba2ReRh
Source: Alexandria via LeMat-Bulk
Functional: GGA-PBEsol
Structure: relaxed

The structure in POSCAR format:
```
Ba2ReRh
1.0
3.413 0.000 0.000
0.000 4.287 0.000
0.000 0.000 6.936
Ba Re Rh
2 1 1
direct
0.000 0.000 0.241 Ba
0.000 0.000 0.759 Ba
0.500 0.500 0.500 Re
0.500 0.500 0.000 Rh
```

SG ... Pmmm, No. 47
Energy of formation from the pure elements ... 4.540 eV per formula unit
Offset from the most stable computed form ... 670.1 meV per atom
M_tot ... 2.35 μB/f.u.
Fermi-level density of states ... 1.090 states/eV/atom


Entry 7:
Compound: BaRe2RhW
Source: Alexandria via LeMat-Bulk
Functional: GGA-PBEsol
Structure: relaxed

The structure in POSCAR format:
```
BaRe2RhW
1.0
4.803 0.000 0.000
0.000 4.803 0.000
0.000 0.000 4.839
Ba Re Rh W
1 2 1 1
direct
0.000 0.000 0.000 Ba
0.000 0.500 0.000 Re
0.500 0.000 0.000 Re
0.500 0.500 0.500 Rh
0.000 0.000 0.500 W
```

SG ... P4/mmm, No. 123
Energy of formation from the pure elements ... 20.704 eV per formula unit
M_tot ... 0.00 μB/f.u.
Fermi-level density of states ... 1.224 states/eV/atom


Entry 8:
Compound: Ba4ReRu
Source: Alexandria via LeMat-Bulk
Functional: GGA-PBEsol
Structure: relaxed

The structure in POSCAR format:
```
Ba4ReRu
1.0
0.000 4.583 4.583
4.583 0.000 4.583
4.583 4.583 0.000
Ba Re Ru
4 1 1
direct
0.125 0.125 0.125 Ba
0.125 0.125 0.625 Ba
0.125 0.625 0.125 Ba
0.625 0.125 0.125 Ba
0.500 0.500 0.500 Re
0.750 0.750 0.750 Ru
```

SG ... F-43m, No. 216
Energy of formation from the pure elements ... 11.101 eV per formula unit
M_tot ... 3.62 μB/f.u.
Fermi-level density of states ... 1.233 states/eV/atom